1) Density functional theory data (PBE-GGA) for an optimized crystal structure of ZrHgCl2.

Cell: 4.2760 3.5943 6.5471 Å, 76.15 90.00 90.00°
Each line ends with the local moment (μB).
Positions (direct):
Zr 0.5000 0.7500 0.7500  0.39
Cl 0.0000 0.6361 0.5399  0.00
Cl 0.0000 0.8639 0.9601  0.00
Hg 0.5000 0.2500 0.2500  0.01

Output
crystal system = monoclinic
magnetic moment = 0.63 μB/f.u.
symmetry = P2/m, No. 10



2) Density functional theory data (PBE-GGA) for an optimized crystal structure of ZrHgCl2.

Cell: 7.2835 7.2835 7.2835 Å, 154.70 135.65 51.75°
Positions (direct):
Hg 0.2500 0.7500 0.5000
Cl 0.5948 0.5948 0.0000
Zr 0.7500 0.2500 0.5000
Cl 0.9052 0.9052 0.0000

Output
crystal system = orthorhombic
magnetic moment = 0.00 μB/f.u.
symmetry = Immm, No. 71



3) Density functional theory data (PBE-GGA) for an optimized crystal structure of ZrHgCl2.

Cell: 5.8545 5.8545 5.8545 Å, 138.86 138.86 59.59°
Positions (direct):
Cl 0.2500 0.7500 0.5000
Cl 0.0000 0.0000 0.0000
Hg 0.5000 0.5000 0.0000
Zr 0.7500 0.2500 0.5000

Output
crystal system = tetragonal
magnetic moment = 0.00 μB/f.u.
symmetry = I-4m2, No. 119



Of them, the most stable is 2) and the least stable is 3).